Density functional theory data (GGA-PBE) for a relaxed LiCdSnAu crystal.

Calculated values
ΔH_f (0 K) (eV per atom): -0.28
Spin magnetization (μB/f.u.): 0.00

Cell: 4.4775 4.4776 5.0701 Å, 116.22 116.20 90.00°
Closest atoms and distances in Å follow each position.
Element x y z (fractional)
Sn 0.5000 0.5000 0.0000  4 Li 2.99, 4 Au 2.99, 4 Cd 3.17
Cd 0.0000 0.0000 0.0000  4 Au 2.99, 4 Li 2.99, 4 Sn 3.17
Au 0.7500 0.2500 0.5000  4 Sn 2.99, 4 Cd 2.99, 4 Li 3.17
Li 0.2500 0.7501 0.5000  4 Sn 2.99, 4 Cd 2.99, 4 Au 3.17